(1)
The following is a DFT calculation (PBE-GGA) of a relaxed BaAsAu2 crystal.

CIF file:
```
data_BaAsAu2
_chemical_formula_sum 'Ba1 As1 Au2'
_space_group_name_H-M_alt 'P m m 2'
_space_group_IT_number 25
_cell_length_a 3.789
_cell_length_b 3.800
_cell_length_c 7.344
_cell_angle_alpha 90.00
_cell_angle_beta 90.00
_cell_angle_gamma 90.00
loop_
_space_group_symop_operation_xyz
'x,y,z'
'-x,-y,z'
'-x,y,z'
'x,-y,z'
loop_
_atom_site_label
_atom_site_type_symbol
_atom_site_fract_x
_atom_site_fract_y
_atom_site_fract_z
_atom_site_occupancy
Ba1 Ba 0.000 0.000 0.000 1
As1 As 0.500 0.500 0.630 1
Au1 Au 0.000 0.000 0.551 1
Au2 Au 0.500 0.500 0.264 1
```

Computed properties:
E	-3.57	eV/atom


(2)
The following is a DFT calculation (PBE-GGA) of a relaxed Ho8Sn2Sb crystal.

CIF file:
```
data_Ho8Sn2Sb
_chemical_formula_sum 'Ho16 Sn4 Sb2'
_space_group_name_H-M_alt 'C 1 2/m 1'
_space_group_IT_number 12
_cell_length_a 19.686
_cell_length_b 4.931
_cell_length_c 6.873
_cell_angle_alpha 90.00
_cell_angle_beta 102.58
_cell_angle_gamma 90.00
loop_
_space_group_symop_operation_xyz
'x,y,z'
'-x,-y,-z'
'-x,y,-z'
'x,-y,z'
'x+1/2,y+1/2,z'
'-x+1/2,-y+1/2,-z'
'-x+1/2,y+1/2,-z'
'x+1/2,-y+1/2,z'
loop_
_atom_site_label
_atom_site_type_symbol
_atom_site_fract_x
_atom_site_fract_y
_atom_site_fract_z
_atom_site_occupancy
Ho1 Ho 0.025 0.000 0.262 1
Ho2 Ho 0.094 0.500 0.982 1
Ho3 Ho 0.158 0.500 0.510 1
Ho4 Ho 0.219 0.000 0.833 1
Sn1 Sn 0.183 0.000 0.264 1
Sb1 Sb 0.000 0.500 0.500 1
```

Computed properties:
formation energy from raw total energies	-0.43	eV/atom